1.
Material: Hf2HgAs2
Method: DFT, PBE
State: relaxed

a = 7.6139 Å, b = 7.6139 Å, c = 3.5106 Å
α = 90.00°, β = 90.00°, γ = 90.00°
Sites, in units of the cell vectors:
Hf  0.1440  0.3560  0.0000
Hf  0.3560  0.8560  0.0000
Hf  0.6440  0.1440  0.0000
Hf  0.8560  0.6440  0.0000
Hg  0.0000  0.0000  0.0000
Hg  0.5000  0.5000  0.0000
As  0.1474  0.6474  0.5000
As  0.3526  0.1474  0.5000
As  0.6474  0.8526  0.5000
As  0.8526  0.3526  0.5000

Values from the calculation:
Mass density ... 11.544 g/cm3
Density of states at the Fermi level ... 0.48 states/eV/atom
Formation energy from the elements ... -0.56 eV per atom


2.
Material: NdSm2Pu3Se6
Method: DFT, PBE
State: relaxed

a = 9.3320 Å, b = 9.3320 Å, c = 8.3546 Å
α = 103.31°, β = 103.31°, γ = 25.73°
Sites, in units of the cell vectors:
Nd  0.0000  0.0000  0.0000
Sm  0.3333  0.3333  0.6669
Sm  0.6667  0.6667  0.3331
Pu  0.0000  0.0000  0.5000
Pu  0.3339  0.3339  0.1669
Pu  0.6661  0.6661  0.8331
Se  0.1660  0.1660  0.5849
Se  0.1688  0.1688  0.0824
Se  0.4996  0.4996  0.2552
Se  0.5004  0.5004  0.7448
Se  0.8312  0.8312  0.9176
Se  0.8340  0.8340  0.4151

Values from the calculation:
Mass density ... 8.929 g/cm3
Density of states at the Fermi level ... 2.29 states/eV/atom
Raw formation energy ... -1.70 eV per atom


3.
Material: Cs3Ag2
Method: DFT, PBE
State: relaxed

a = 9.4853 Å, b = 9.4853 Å, c = 9.4853 Å
α = 61.00°, β = 61.00°, γ = 61.00°
Sites, in units of the cell vectors:
Cs  0.1066  0.7500  0.3934
Cs  0.2500  0.6066  0.8934
Cs  0.3934  0.1066  0.7500
Cs  0.6066  0.8934  0.2500
Cs  0.7500  0.3934  0.1066
Cs  0.8934  0.2500  0.6066
Ag  0.1874  0.1874  0.1874
Ag  0.3126  0.3126  0.3126
Ag  0.6874  0.6874  0.6874
Ag  0.8126  0.8126  0.8126

Values from the calculation:
Mass density ... 3.307 g/cm3
Density of states at the Fermi level ... 0.56 states/eV/atom
Formation energy from the elements ... 0.06 eV per atom


4.
Material: MgCd2NiH
Method: DFT, PBE
State: relaxed

a = 4.9598 Å, b = 4.9598 Å, c = 4.8297 Å
α = 90.00°, β = 90.00°, γ = 90.00°
Sites, in units of the cell vectors:
Mg  0.0000  0.0000  0.0000
Cd  0.0000  0.5000  0.5000
Cd  0.5000  0.0000  0.5000
Ni  0.0000  0.0000  0.5000
H  0.5000  0.5000  0.0000

Values from the calculation:
Mass density ... 4.316 g/cm3
Density of states at the Fermi level ... 0.40 states/eV/atom
Calculated total energy ... -1.9499 eV per atom


5.
Material: AcTbSm
Method: DFT, PBE
State: relaxed

a = 8.2274 Å, b = 8.2274 Å, c = 8.2274 Å
α = 153.59°, β = 153.59°, γ = 37.70°
Sites, in units of the cell vectors:
Ac  0.0000  0.0000  0.0000
Tb  0.3289  0.3289  0.0000
Sm  0.6737  0.6737  0.0000

Values from the calculation:
Mass density ... 8.092 g/cm3
Density of states at the Fermi level ... 1.47 states/eV/atom
Formation energy from the elements ... 0.05 eV per atom


6.
Material: Pa2CdO7
Method: DFT, PBE
State: relaxed

a = 3.8463 Å, b = 3.8463 Å, c = 10.8303 Å
α = 98.22°, β = 98.22°, γ = 60.21°
Sites, in units of the cell vectors:
Pa  0.0535  0.0535  0.2003
Pa  0.9465  0.9465  0.7997
Cd  0.5000  0.5000  0.5000
O  0.0000  0.0000  0.0000
O  0.1285  0.1285  0.4200
O  0.2926  0.2926  0.8470
O  0.4044  0.4044  0.2678
O  0.5956  0.5956  0.7322
O  0.7074  0.7074  0.1530
O  0.8715  0.8715  0.5800

Values from the calculation:
Mass density ... 8.312 g/cm3
Density of states at the Fermi level ... 0.56 states/eV/atom
Raw formation energy ... -2.50 eV per atom


7.
Material: LaNdCo3
Method: DFT, PBE
State: relaxed

a = 12.1089 Å, b = 12.1089 Å, c = 3.9860 Å
α = 90.00°, β = 90.00°, γ = 159.73°
Sites, in units of the cell vectors:
La  0.0704  0.9296  0.7500
La  0.9296  0.0704  0.2500
Nd  0.2047  0.7953  0.2500
Nd  0.7953  0.2047  0.7500
Co  0.3340  0.6660  0.2500
Co  0.3800  0.6200  0.7500
Co  0.4763  0.5237  0.7500
Co  0.5237  0.4763  0.2500
Co  0.6200  0.3800  0.2500
Co  0.6660  0.3340  0.7500

Values from the calculation:
Mass density ... 7.546 g/cm3
Density of states at the Fermi level ... 0.95 states/eV/atom
Formation energy from the elements ... -0.07 eV per atom


8.
Material: Na3TiNb2N6
Method: DFT, PBE
State: relaxed

a = 5.4221 Å, b = 5.4221 Å, c = 5.9424 Å
α = 98.74°, β = 98.74°, γ = 119.99°
Sites, in units of the cell vectors:
Na  0.0000  0.0000  0.0000
Na  0.3347  0.6653  0.0000
Na  0.6653  0.3347  0.0000
Ti  0.5000  0.5000  0.5000
Nb  0.1667  0.8333  0.5000
Nb  0.8333  0.1667  0.5000
N  0.1049  0.4354  0.3060
N  0.2342  0.2342  0.6937
N  0.4354  0.1049  0.3060
N  0.5646  0.8951  0.6940
N  0.7658  0.7658  0.3063
N  0.8951  0.5646  0.6940

Values from the calculation:
Mass density ... 4.455 g/cm3
Density of states at the Fermi level ... 0.63 states/eV/atom
Raw formation energy ... -0.71 eV per atom


9.
Material: Gd2TePt
Method: DFT, PBE
State: relaxed

a = 3.7182 Å, b = 3.7182 Å, c = 7.2085 Å
α = 90.00°, β = 90.00°, γ = 90.00°
Sites, in units of the cell vectors:
Gd  0.0000  0.0000  0.2276
Gd  0.0000  0.0000  0.7724
Te  0.5000  0.5000  0.5000
Pt  0.5000  0.5000  0.0000

Values from the calculation:
Mass density ... 10.617 g/cm3
Density of states at the Fermi level ... 1.22 states/eV/atom
Raw formation energy ... -1.13 eV per atom


10.
Material: InAgIr2
Method: DFT, PBE
State: relaxed

a = 4.8634 Å, b = 4.8634 Å, c = 4.8634 Å
α = 129.59°, β = 129.59°, γ = 74.06°
Sites, in units of the cell vectors:
In  0.0000  0.0000  0.0000
Ag  0.2500  0.7500  0.5000
Ir  0.5000  0.5000  0.0000
Ir  0.7500  0.2500  0.5000

Values from the calculation:
Mass density ... 15.135 g/cm3
Density of states at the Fermi level ... 1.37 states/eV/atom
Formation energy from the elements ... 0.29 eV per atom


11.
Material: CePm4Si4
Method: DFT, PBE
State: relaxed

a = 9.0664 Å, b = 9.0664 Å, c = 5.9420 Å
α = 90.00°, β = 90.00°, γ = 90.00°
Sites, in units of the cell vectors:
Ce  0.2500  0.2500  0.2500
Ce  0.7500  0.7500  0.7500
Pm  0.0558  0.6699  0.1191
Pm  0.1699  0.9442  0.6191
Pm  0.3301  0.5558  0.6191
Pm  0.4442  0.8301  0.1191
Pm  0.5558  0.1699  0.8809
Pm  0.6699  0.4442  0.3809
Pm  0.8301  0.0558  0.3809
Pm  0.9442  0.3301  0.8809
Si  0.0151  0.6157  0.6100
Si  0.1157  0.9849  0.1100
Si  0.3843  0.5151  0.1100
Si  0.4849  0.8843  0.6100
Si  0.5151  0.1157  0.3900
Si  0.6157  0.4849  0.8900
Si  0.8843  0.0151  0.8900
Si  0.9849  0.3843  0.3900

Values from the calculation:
Mass density ... 5.660 g/cm3
Density of states at the Fermi level ... 1.42 states/eV/atom
Raw formation energy ... -0.42 eV per atom


12.
Material: La2Nd6SmY
Method: DFT, PBE
State: relaxed

a = 8.9700 Å, b = 8.9700 Å, c = 10.1457 Å
α = 95.19°, β = 95.19°, γ = 118.21°
Sites, in units of the cell vectors:
La  0.1935  0.2907  0.0403
La  0.2907  0.1935  0.5403
La  0.7093  0.8065  0.4597
La  0.8065  0.7093  0.9597
Nd  0.0195  0.5792  0.1874
Nd  0.1204  0.7414  0.5550
Nd  0.2586  0.8796  0.9450
Nd  0.2963  0.5021  0.3789
Nd  0.4208  0.9805  0.3126
Nd  0.4979  0.7037  0.1211
Nd  0.5021  0.2963  0.8789
Nd  0.5792  0.0195  0.6874
Nd  0.7037  0.4979  0.6211
Nd  0.7414  0.1204  0.0550
Nd  0.8796  0.2586  0.4450
Nd  0.9805  0.4208  0.8126
Sm  0.0128  0.9872  0.2500
Sm  0.9872  0.0128  0.7500
Y  0.4051  0.5949  0.7500
Y  0.5949  0.4051  0.2500

Values from the calculation:
Mass density ... 6.484 g/cm3
Density of states at the Fermi level ... 1.53 states/eV/atom
Formation energy from the elements ... 0.11 eV per atom


13.
Material: Gd2Br3
Method: DFT, PBE
State: relaxed

a = 9.0169 Å, b = 9.0169 Å, c = 11.2783 Å
α = 120.74°, β = 120.74°, γ = 25.51°
Sites, in units of the cell vectors:
Gd  0.0764  0.0764  0.4563
Gd  0.3624  0.3624  0.2101
Gd  0.6376  0.6376  0.7899
Gd  0.9236  0.9236  0.5437
Br  0.1629  0.1629  0.0072
Br  0.2825  0.2825  0.3796
Br  0.4616  0.4616  0.7591
Br  0.5384  0.5384  0.2409
Br  0.7175  0.7175  0.6204
Br  0.8371  0.8371  0.9928

Values from the calculation:
Mass density ... 5.471 g/cm3
Density of states at the Fermi level ... 0.48 states/eV/atom
Raw formation energy ... -1.51 eV per atom


14.
Material: HfTa3Nb2
Method: DFT, PBE
State: relaxed

a = 7.2842 Å, b = 7.2842 Å, c = 4.8043 Å
α = 90.00°, β = 90.00°, γ = 73.38°
Sites, in units of the cell vectors:
Hf  0.2373  0.7627  0.7500
Hf  0.7627  0.2373  0.2500
Ta  0.1481  0.4012  0.2500
Ta  0.4012  0.1481  0.7500
Ta  0.4181  0.5819  0.2500
Ta  0.5819  0.4181  0.7500
Ta  0.5988  0.8519  0.2500
Ta  0.8519  0.5988  0.7500
Nb  0.0159  0.2147  0.7500
Nb  0.2147  0.0159  0.2500
Nb  0.7853  0.9841  0.7500
Nb  0.9841  0.7853  0.2500

Values from the calculation:
Mass density ... 12.334 g/cm3
Density of states at the Fermi level ... 1.26 states/eV/atom
Formation energy from the elements ... 0.52 eV per atom


15.
Material: LaZrAl
Method: DFT, PBE
State: relaxed

a = 5.9174 Å, b = 5.9174 Å, c = 5.9174 Å
α = 142.56°, β = 142.56°, γ = 53.99°
Sites, in units of the cell vectors:
La  0.0000  0.0000  0.0000
Zr  0.2980  0.2980  0.0000
Al  0.6886  0.6886  0.0000

Values from the calculation:
Mass density ... 5.612 g/cm3
Density of states at the Fermi level ... 1.47 states/eV/atom
Formation energy from the elements ... -0.08 eV per atom


16.
Material: ZnNiAs3
Method: DFT, PBE
State: relaxed

a = 4.6517 Å, b = 4.6517 Å, c = 4.6517 Å
α = 90.00°, β = 90.00°, γ = 90.00°
Sites, in units of the cell vectors:
Zn  0.0000  0.0000  0.0000
Ni  0.5000  0.5000  0.5000
As  0.0000  0.5000  0.5000
As  0.5000  0.0000  0.5000
As  0.5000  0.5000  0.0000

Values from the calculation:
Mass density ... 5.755 g/cm3
Density of states at the Fermi level ... 0.75 states/eV/atom
Formation energy from the elements ... 0.47 eV per atom


17.
Material: CdIn2I2
Method: DFT, PBE
State: relaxed

a = 7.9157 Å, b = 7.9157 Å, c = 7.9157 Å
α = 132.89°, β = 132.89°, γ = 68.83°
Sites, in units of the cell vectors:
Cd  0.0000  0.0000  0.0000
In  0.2500  0.7500  0.5000
In  0.7500  0.2500  0.5000
I  0.3401  0.3401  0.0000
I  0.6599  0.6599  0.0000

Values from the calculation:
Mass density ... 3.785 g/cm3
Density of states at the Fermi level ... 0.00 states/eV/atom
Raw formation energy ... -0.14 eV per atom


18.
Material: AcHf2Pt2
Method: DFT, PBE
State: relaxed

a = 6.4556 Å, b = 6.4556 Å, c = 6.4556 Å
α = 137.76°, β = 137.76°, γ = 61.27°
Sites, in units of the cell vectors:
Ac  0.0000  0.0000  0.0000
Hf  0.2500  0.7500  0.5000
Hf  0.7500  0.2500  0.5000
Pt  0.3739  0.3739  0.0000
Pt  0.6261  0.6261  0.0000

Values from the calculation:
Mass density ... 13.455 g/cm3
Density of states at the Fermi level ... 0.67 states/eV/atom
Formation energy from the elements ... -0.94 eV per atom


19.
Material: TiCoTc2
Method: DFT, PBE
State: relaxed

a = 5.4976 Å, b = 5.4976 Å, c = 5.4976 Å
α = 101.70°, β = 101.70°, γ = 126.47°
Sites, in units of the cell vectors:
Ti  0.0000  0.0000  0.0000
Ti  0.7500  0.2500  0.5000
Co  0.2500  0.7500  0.5000
Co  0.5000  0.5000  0.0000
Tc  0.1559  0.6250  0.0309
Tc  0.3750  0.4059  0.5309
Tc  0.5941  0.1250  0.9691
Tc  0.8750  0.8441  0.4691

Values from the calculation:
Mass density ... 8.429 g/cm3
Density of states at the Fermi level ... 1.28 states/eV/atom
Formation energy from the elements ... 0.38 eV per atom


20.
Material: NbFeSiTc
Method: DFT, PBE
State: relaxed

a = 4.2615 Å, b = 4.2615 Å, c = 4.2615 Å
α = 60.00°, β = 60.00°, γ = 60.00°
Sites, in units of the cell vectors:
Nb  0.0000  0.0000  0.0000
Fe  0.2500  0.2500  0.2500
Si  0.5000  0.5000  0.5000
Tc  0.7500  0.7500  0.7500

Values from the calculation:
Mass density ... 8.339 g/cm3
Density of states at the Fermi level ... 0.38 states/eV/atom
Raw formation energy ... -0.39 eV per atom